VASP calculation (PBE-GGA) on a relaxed structure of U2Ga5Pd3.

Cell: 4.4773 6.5078 12.6743 Å, 90.00 100.17 90.00°
Last column: nearest neighbours and their distance in Å.
Element x y z (fractional)
Ga 0.0515 0.5624 0.1031  4 Pd 2.63-2.67, 1 Ga 2.67
Ga 0.2930 0.9234 0.5859  4 Pd 2.58-2.65, 1 Ga 2.67
Pd 0.6055 0.5144 0.2109  6 Ga 2.60-2.83, 1 U 2.87
Pd 0.2232 0.2152 0.4463  7 Ga 2.52-2.65
U 0.8292 0.2283 0.6584  10 Ga 3.06-3.30, 4 Pd 3.10-3.43
Ga 0.2902 0.5130 0.5803  3 Pd 2.56-2.62, 2 Ga 2.67
Ga 0.3947 0.4286 0.7894  3 Pd 2.61-2.70, 1 Ga 2.67
Ga 0.7070 0.4234 0.4141  4 Pd 2.58-2.65, 1 Ga 2.67
U 0.5127 0.2541 0.0254  5 Pd 2.87-3.10, 6 Ga 3.02-3.16
Pd 0.9472 0.4677 0.8945  5 Ga 2.57-2.67
Ga 0.7098 0.0130 0.4197  3 Pd 2.56-2.62, 2 Ga 2.67
Ga 0.6053 0.9286 0.2106  3 Pd 2.61-2.70, 1 Ga 2.67
Pd 0.3945 0.0144 0.7891  6 Ga 2.60-2.83, 1 U 2.87
Ga 0.9485 0.0624 0.8969  4 Pd 2.63-2.67, 1 Ga 2.67
U 0.4873 0.7541 0.9746  5 Pd 2.87-3.10, 6 Ga 3.02-3.16
Ga 0.8770 0.7576 0.7541  2 Pd 2.52-2.57, 1 Ga 2.67
Pd 0.7768 0.7152 0.5537  7 Ga 2.52-2.65
U 0.1708 0.7283 0.3416  10 Ga 3.06-3.30, 4 Pd 3.10-3.43
Ga 0.1230 0.2576 0.2459  2 Pd 2.52-2.57, 1 Ga 2.67
Pd 0.0528 0.9677 0.1055  5 Ga 2.57-2.67

Properties
**Formation enthalpy at 0 K**: -0.44 eV per atom
**Crystal system**: orthorhombic



VASP calculation (PBE-GGA) on a relaxed structure of CuPPb4.

Cell: 6.3311 6.3311 6.3311 Å, 60.00 60.00 60.00°
Last column: nearest neighbours and their distance in Å.
Element x y z (fractional)
Pb 0.8742 0.3753 0.3753  6 Pb 3.16-3.17
P 0.0000 0.0000 0.0000  12 Pb 3.71, 4 Cu 3.88
Pb 0.3753 0.3753 0.8742  6 Pb 3.16-3.17
Pb 0.3753 0.8742 0.3753  6 Pb 3.16-3.17
Cu 0.7500 0.7500 0.7500  12 Pb 3.71, 4 P 3.88
Pb 0.3753 0.3753 0.3753  6 Pb 3.16-3.17

Properties
**Formation enthalpy at 0 K**: 0.78 eV per atom
**Crystal system**: cubic



VASP calculation (PBE-GGA) on a relaxed structure of LaTbPrSm3.

Cell: 5.7909 10.6544 7.0046 Å, 90.60 90.00 105.77°
Last column: nearest neighbours and their distance in Å.
Element x y z (fractional)
Sm 0.8362 0.6724 0.2627  2 Tb 3.47, 2 La 3.56, 4 Sm 3.61-3.76
Pr 0.0550 0.1100 0.2618  3 Sm 3.28-3.38
Pr 0.9450 0.8900 0.7382  3 Sm 3.28-3.38
Tb 0.3529 0.7057 0.5306  1 La 3.09, 2 Sm 3.26-3.34
La 0.3538 0.7076 0.9715  1 Tb 3.09, 2 Sm 3.24-3.39
Sm 0.1638 0.3276 0.7373  2 Tb 3.47, 2 La 3.56, 4 Sm 3.61-3.76
La 0.6462 0.2924 0.0285  1 Tb 3.09, 2 Sm 3.24-3.39
Sm 0.2198 0.4397 0.2504  3 Tb 3.34-3.61, 1 Pr 3.38, 3 La 3.39-3.61, 1 Sm 3.61
Sm 0.4797 0.9594 0.2547  1 La 3.24, 1 Tb 3.26, 2 Pr 3.28, 1 Sm 3.53
Sm 0.5203 0.0406 0.7453  1 La 3.24, 1 Tb 3.26, 2 Pr 3.28, 1 Sm 3.53
Sm 0.7802 0.5603 0.7496  3 Tb 3.34-3.61, 1 Pr 3.38, 3 La 3.39-3.61, 1 Sm 3.61
Tb 0.6471 0.2943 0.4694  1 La 3.09, 2 Sm 3.26-3.34

Properties
**Formation enthalpy at 0 K**: 0.16 eV per atom
**Crystal system**: monoclinic



VASP calculation (PBE-GGA) on a relaxed structure of K3CuTe2O8.

Cell: 5.9722 5.9722 7.7036 Å, 90.00 90.00 120.00°
Last column: nearest neighbours and their distance in Å.
Element x y z (fractional)
Te 0.3333 0.6667 0.2298  4 O 1.85-1.88
O 0.8350 0.1650 0.6785  1 Te 1.88
O 0.3333 0.6667 0.9903  1 Te 1.85
Te 0.6667 0.3333 0.7702  4 O 1.85-1.88
K 0.6667 0.3333 0.3406  1 O 2.55
Cu 0.0000 0.0000 0.5000  6 O 2.19
O 0.1650 0.8350 0.3215  1 Te 1.88
O 0.6699 0.8350 0.3215  1 Te 1.88
O 0.1650 0.3301 0.3215  1 Te 1.88
K 0.3333 0.6667 0.6594  1 O 2.55
K 0.0000 0.0000 0.0000  6 O 3.01
O 0.6667 0.3333 0.0097  1 Te 1.85
O 0.3301 0.1650 0.6785  1 Te 1.88
O 0.8350 0.6699 0.6785  1 Te 1.88

Properties
**Raw formation energy**: -1.149 eV per atom
**Crystal system**: trigonal



VASP calculation (PBE-GGA) on a relaxed structure of Na2Pd2Se3.

Cell: 3.7864 5.9009 7.8419 Å, 104.34 89.76 108.69°
Last column: nearest neighbours and their distance in Å.
Element x y z (fractional)
Na 0.8926 0.7862 0.6421  2 Se 2.75-2.93
Se 0.2033 0.4032 0.7437  2 Pd 2.49
Se 0.7967 0.5968 0.2563  2 Pd 2.49
Se 0.0000 0.0000 0.0000  4 Pd 2.65, 2 Na 2.75
Na 0.1074 0.2138 0.3579  2 Se 2.75-2.93
Pd 0.3630 0.7271 0.0942  4 Se 2.49-2.65
Pd 0.6370 0.2729 0.9058  4 Se 2.49-2.65

Properties
**Raw formation energy**: -0.473 eV per atom
**Crystal system**: triclinic



VASP calculation (PBE-GGA) on a relaxed structure of Cr2SiAu.

Cell: 4.5860 4.5860 2.8249 Å, 90.00 90.00 108.15°
Last column: nearest neighbours and their distance in Å.
Element x y z (fractional)
Au 0.0000 0.5000 0.5000  2 Si 2.69, 8 Cr 2.69, 2 Au 2.82
Cr 0.5000 0.5000 0.0000  4 Cr 2.69-2.82, 4 Si 2.69, 4 Au 2.69
Si 0.5000 0.0000 0.5000  2 Au 2.69, 8 Cr 2.69, 2 Si 2.82
Cr 0.0000 0.0000 0.0000  4 Cr 2.69-2.82, 4 Au 2.69, 4 Si 2.69

Properties
**Raw formation energy**: 0.193 eV per atom
**Crystal system**: orthorhombic



VASP calculation (PBE-GGA) on a relaxed structure of Mn2Se.

Cell: 9.1240 9.1240 9.1240 Å, 160.90 160.90 27.14°
Last column: nearest neighbours and their distance in Å.
Element x y z (fractional)
Mn 0.4186 0.4186 0.0000  2 Mn 2.16
Mn 0.3314 0.8314 0.5000  2 Mn 2.16
Se 0.0000 0.0000 0.0000  8 Mn 2.58
Mn 0.5814 0.5814 0.0000  2 Mn 2.16
Se 0.7500 0.2500 0.5000  8 Mn 2.58
Mn 0.1686 0.6686 0.5000  2 Mn 2.16

Properties
**Raw formation energy**: 0.532 eV per atom
**Crystal system**: tetragonal



VASP calculation (PBE-GGA) on a relaxed structure of NbTcOF2.

Cell: 4.3367 4.3367 3.9866 Å, 90.00 90.00 90.00°
Last column: nearest neighbours and their distance in Å.
Element x y z (fractional)
Tc 0.5000 0.5000 0.5000  8 F 2.95, 4 O 3.07
O 0.0000 0.0000 0.5000  2 Nb 1.99
F 0.0000 0.5000 0.0000  2 Nb 2.17
Nb 0.0000 0.0000 0.0000  2 O 1.99, 4 F 2.17
F 0.5000 0.0000 0.0000  2 Nb 2.17

Properties
**Raw formation energy**: -0.927 eV per atom
**Crystal system**: tetragonal



VASP calculation (PBE-GGA) on a relaxed structure of PmPaSiGe.

Cell: 5.0479 5.0479 5.0479 Å, 60.00 60.00 60.00°
Last column: nearest neighbours and their distance in Å.
Element x y z (fractional)
Pa 0.0000 0.0000 0.0000  4 Si 3.09, 4 Ge 3.09
Si 0.7500 0.7500 0.7500  4 Pa 3.09, 4 Pm 3.09
Pm 0.5000 0.5000 0.5000  4 Ge 3.09, 4 Si 3.09
Ge 0.2500 0.2500 0.2500  4 Pa 3.09, 4 Pm 3.09

Properties
**Raw formation energy**: -0.331 eV per atom
**Crystal system**: cubic



VASP calculation (PBE-GGA) on a relaxed structure of Mg6MnB.

Cell: 6.9343 6.9343 3.2221 Å, 90.00 90.00 94.88°
Last column: nearest neighbours and their distance in Å.
Element x y z (fractional)
Mg 0.5468 0.7872 0.0000  2 B 2.55, 1 Mn 2.81
B 0.2617 0.7383 0.5000  2 Mn 1.96
Mg 0.9134 0.0866 0.5000  2 Mn 2.92, 6 Mg 3.07-3.22
Mg 0.3605 0.1052 0.5000  1 B 2.58, 2 Mn 2.73
Mn 0.1518 0.8482 0.0000  2 B 1.96
Mg 0.6581 0.3419 0.0000  10 Mg 3.00-3.25
Mg 0.2128 0.4532 0.0000  2 B 2.55, 1 Mn 2.81
Mg 0.8948 0.6395 0.5000  1 B 2.58, 2 Mn 2.73

Properties
**Formation enthalpy at 0 K**: 0.14 eV per atom
**Crystal system**: orthorhombic



VASP calculation (PBE-GGA) on a relaxed structure of SrSi2Sb2.

Cell: 8.2608 8.2608 3.7702 Å, 90.00 90.00 90.00°
Last column: nearest neighbours and their distance in Å.
Element x y z (fractional)
Sb 0.3662 0.8662 0.0000  6 Si 2.99-3.19, 1 Sb 3.13, 2 Sr 3.22
Sb 0.8662 0.6338 0.0000  6 Si 2.99-3.19, 1 Sb 3.13, 2 Sr 3.22
Sr 0.5000 0.5000 0.0000  4 Sb 3.22
Sb 0.1338 0.3662 0.0000  6 Si 2.99-3.19, 1 Sb 3.13, 2 Sr 3.22
Si 0.6464 0.8536 0.5000  6 Sb 2.99-3.19
Sb 0.6338 0.1338 0.0000  6 Si 2.99-3.19, 1 Sb 3.13, 2 Sr 3.22
Si 0.3536 0.1464 0.5000  6 Sb 2.99-3.19
Si 0.1464 0.6464 0.5000  6 Sb 2.99-3.19
Si 0.8536 0.3536 0.5000  6 Sb 2.99-3.19
Sr 0.0000 0.0000 0.0000  4 Sb 3.22

Properties
**Raw formation energy**: 0.175 eV per atom
**Crystal system**: tetragonal



VASP calculation (PBE-GGA) on a relaxed structure of Cr3Rh.

Cell: 8.0924 6.1285 3.9888 Å, 90.00 90.00 90.00°
Last column: nearest neighbours and their distance in Å.
Element x y z (fractional)
Rh 0.2500 0.1000 0.2502  11 Cr 2.53-2.75, 2 Rh 2.71
Cr 0.5164 0.6149 0.7500  6 Cr 2.46-2.59, 4 Rh 2.53-2.75
Cr 0.7500 0.3454 0.7498  6 Cr 2.31-2.58, 2 Rh 2.53
Cr 0.4836 0.3851 0.2500  6 Cr 2.46-2.59, 4 Rh 2.53-2.75
Cr 0.4836 0.1149 0.7500  6 Cr 2.46-2.59, 4 Rh 2.53-2.75
Rh 0.7500 0.6000 0.2498  11 Cr 2.53-2.75, 2 Rh 2.71
Rh 0.2500 0.4000 0.7502  11 Cr 2.53-2.75, 2 Rh 2.71
Cr 0.2500 0.8454 0.7502  6 Cr 2.31-2.58, 2 Rh 2.53
Cr 0.0164 0.3851 0.2500  6 Cr 2.46-2.59, 4 Rh 2.53-2.75
Cr 0.9836 0.6149 0.7500  6 Cr 2.46-2.59, 4 Rh 2.53-2.75
Cr 0.0164 0.1149 0.7500  6 Cr 2.46-2.59, 4 Rh 2.53-2.75
Cr 0.7500 0.1546 0.2498  6 Cr 2.31-2.58, 2 Rh 2.53
Cr 0.9836 0.8851 0.2500  6 Cr 2.46-2.59, 4 Rh 2.53-2.75
Cr 0.2500 0.6546 0.2502  6 Cr 2.31-2.58, 2 Rh 2.53
Rh 0.7500 0.9000 0.7498  11 Cr 2.53-2.75, 2 Rh 2.71
Cr 0.5164 0.8851 0.2500  6 Cr 2.46-2.59, 4 Rh 2.53-2.75

Properties
**Formation enthalpy at 0 K**: 0.07 eV per atom
**Crystal system**: orthorhombic



VASP calculation (PBE-GGA) on a relaxed structure of RbHfGaS4.

Cell: 6.3349 6.8095 10.2461 Å, 90.00 124.01 90.00°
Last column: nearest neighbours and their distance in Å.
Element x y z (fractional)
S 0.5569 0.7500 0.5932  1 Ga 2.23, 1 Hf 2.49
Hf 0.2168 0.2500 0.5425  6 S 2.49-2.64
S 0.0842 0.0029 0.6807  1 Ga 2.34, 1 Hf 2.62
Ga 0.8013 0.2500 0.6479  4 S 2.23-2.34
S 0.0842 0.4971 0.6807  1 Ga 2.34, 1 Hf 2.62
S 0.3424 0.7500 0.1950  1 Ga 2.25
Hf 0.7832 0.7500 0.4575  6 S 2.49-2.64
S 0.9158 0.9971 0.3193  1 Ga 2.34, 1 Hf 2.62
Ga 0.1987 0.7500 0.3521  4 S 2.23-2.34
S 0.9158 0.5029 0.3193  1 Ga 2.34, 1 Hf 2.62
Rb 0.6621 0.7500 0.9369  4 S 3.20-3.58
S 0.6576 0.2500 0.8050  1 Ga 2.25
Rb 0.3379 0.2500 0.0631  4 S 3.20-3.58
S 0.4431 0.2500 0.4068  1 Ga 2.23, 1 Hf 2.49

Properties
**Raw formation energy**: -1.190 eV per atom
**Crystal system**: monoclinic



VASP calculation (PBE-GGA) on a relaxed structure of NaTlSnAu.

Cell: 5.1493 5.1493 5.1493 Å, 60.00 60.00 60.00°
Last column: nearest neighbours and their distance in Å.
Element x y z (fractional)
Na 0.7500 0.7500 0.7500  4 Au 3.15, 4 Tl 3.15
Au 0.5000 0.5000 0.5000  4 Na 3.15, 4 Sn 3.15
Tl 0.0000 0.0000 0.0000  4 Sn 3.15, 4 Na 3.15
Sn 0.2500 0.2500 0.2500  4 Au 3.15, 4 Tl 3.15

Properties
**Formation enthalpy at 0 K**: -0.12 eV per atom
**Crystal system**: cubic



VASP calculation (PBE-GGA) on a relaxed structure of PuAl2Pd.

Cell: 3.0595 3.0595 7.6304 Å, 90.00 90.00 90.00°
Last column: nearest neighbours and their distance in Å.
Element x y z (fractional)
Pd 0.5000 0.5000 0.0000  8 Al 2.66
Pu 0.5000 0.5000 0.5000  4 Pu 3.06, 8 Al 3.14
Al 0.0000 0.0000 0.7979  4 Pd 2.66
Al 0.0000 0.0000 0.2021  4 Pd 2.66

Properties
**Formation enthalpy at 0 K**: -0.55 eV per atom
**Crystal system**: tetragonal



VASP calculation (PBE-GGA) on a relaxed structure of Dy5Er2Th5.

Cell: 5.0304 7.9121 10.7088 Å, 72.73 76.42 71.46°
Last column: nearest neighbours and their distance in Å.
Element x y z (fractional)
Dy 0.4159 0.9201 0.2481  3 Dy 3.49-3.59, 7 Th 3.52-3.60, 2 Er 3.56
Dy 0.6682 0.6680 0.9957  4 Dy 3.49-3.59, 3 Er 3.52-3.59, 5 Th 3.55-3.62
Th 0.7499 0.2465 0.2537  4 Th 3.52-3.57, 6 Dy 3.52-3.62, 2 Er 3.56
Th 0.0000 0.0000 0.0000  2 Er 3.55, 8 Dy 3.55, 2 Th 3.57
Dy 0.3318 0.3320 0.0043  4 Dy 3.49-3.59, 3 Er 3.52-3.59, 5 Th 3.55-3.62
Th 0.1689 0.1653 0.4969  5 Th 3.52, 5 Dy 3.52-3.60, 2 Er 3.55-3.59
Th 0.2501 0.7535 0.7463  4 Th 3.52-3.57, 6 Dy 3.52-3.62, 2 Er 3.56
Dy 0.5841 0.0799 0.7519  3 Dy 3.49-3.59, 7 Th 3.52-3.60, 2 Er 3.56
Th 0.8311 0.8347 0.5031  5 Th 3.52, 5 Dy 3.52-3.60, 2 Er 3.55-3.59
Er 0.0834 0.5837 0.2495  7 Dy 3.52-3.59, 5 Th 3.55-3.59
Dy 0.5000 0.5000 0.5000  6 Th 3.54-3.56, 4 Er 3.57, 2 Dy 3.58
Er 0.9166 0.4163 0.7505  7 Dy 3.52-3.59, 5 Th 3.55-3.59

Properties
**Formation enthalpy at 0 K**: 0.05 eV per atom
**Crystal system**: monoclinic



VASP calculation (PBE-GGA) on a relaxed structure of DyPuSi4.

Cell: 5.2887 5.2887 5.2887 Å, 60.00 60.00 60.00°
Last column: nearest neighbours and their distance in Å.
Element x y z (fractional)
Si 0.6252 0.6252 0.6252  6 Si 2.64-2.65
Si 0.6252 0.1244 0.6252  6 Si 2.64-2.65
Dy 0.2500 0.2500 0.2500  12 Si 3.10, 4 Pu 3.24
Si 0.6252 0.6252 0.1244  6 Si 2.64-2.65
Si 0.1244 0.6252 0.6252  6 Si 2.64-2.65
Pu 0.0000 0.0000 0.0000  12 Si 3.10, 4 Dy 3.24

Properties
**Raw formation energy**: -0.359 eV per atom
**Crystal system**: cubic



VASP calculation (PBE-GGA) on a relaxed structure of Pm3Al2Sn4.

Cell: 4.6163 7.0054 8.3807 Å, 110.97 105.99 90.00°
Last column: nearest neighbours and their distance in Å.
Element x y z (fractional)
Sn 0.2128 0.2352 0.4256  3 Al 2.83-3.00
Al 0.3408 0.0145 0.6815  4 Sn 2.83-3.00
Pm 0.1329 0.6265 0.2658  7 Sn 3.26-3.50, 3 Al 3.32-3.44
Sn 0.4819 0.6905 0.9638  1 Al 2.84, 1 Sn 2.94, 2 Pm 3.11
Al 0.6592 0.9855 0.3185  4 Sn 2.83-3.00
Pm 0.8671 0.3735 0.7342  7 Sn 3.26-3.50, 3 Al 3.32-3.44
Sn 0.7872 0.7648 0.5744  3 Al 2.83-3.00
Pm 0.0000 0.0000 0.0000  6 Sn 3.11-3.20
Sn 0.5181 0.3095 0.0362  1 Al 2.84, 1 Sn 2.94, 2 Pm 3.11

Properties
**Formation enthalpy at 0 K**: -0.54 eV per atom
**Crystal system**: monoclinic



VASP calculation (PBE-GGA) on a relaxed structure of TcPd2Cl.

Cell: 7.2255 7.2255 5.7583 Å, 51.14 51.14 90.00°
Last column: nearest neighbours and their distance in Å.
Element x y z (fractional)
Tc 0.7500 0.2500 0.5000  4 Pd 2.66, 2 Cl 2.66
Cl 0.5000 0.5000 0.0000  4 Pd 2.62, 2 Tc 2.66
Pd 0.1281 0.6250 0.2500  2 Cl 2.62, 2 Tc 2.66, 2 Pd 2.66
Pd 0.3750 0.3781 0.7500  2 Cl 2.62, 2 Tc 2.66, 2 Pd 2.66
Tc 0.0000 0.0000 0.0000  4 Pd 2.66, 2 Cl 2.66
Pd 0.8750 0.8719 0.7500  2 Cl 2.62, 2 Tc 2.66, 2 Pd 2.66
Pd 0.6219 0.1250 0.2500  2 Cl 2.62, 2 Tc 2.66, 2 Pd 2.66
Cl 0.2500 0.7500 0.5000  4 Pd 2.62, 2 Tc 2.66

Properties
**Raw formation energy**: 0.622 eV per atom
**Crystal system**: tetragonal



VASP calculation (PBE-GGA) on a relaxed structure of RbBaCa2Cd.

Cell: 6.2961 6.2961 6.6729 Å, 90.00 90.00 90.00°
Last column: nearest neighbours and their distance in Å.
Element x y z (fractional)
Ca 0.0000 0.5000 0.0000  2 Cd 3.15
Cd 0.0000 0.0000 0.0000  4 Ca 3.15, 2 Ba 3.34
Ba 0.0000 0.0000 0.5000  2 Cd 3.34
Rb 0.5000 0.5000 0.5000  4 Ba 4.45, 8 Ca 4.59
Ca 0.5000 0.0000 0.0000  2 Cd 3.15

Properties
**Formation enthalpy at 0 K**: 0.03 eV per atom
**Crystal system**: tetragonal



In Å³/cell, the volume values for the records above are, in order, 363, 179, 416, 238, 160, 56, 81, 75, 91, 154, 257, 198, 366, 97, 71, 381, 105, 242, 139, 265.